Below is crystalline Sr3PuGa2O8 at its relaxed geometry, with properties calculated at the PBE-GGA level.

abc: 5.9030 5.9030 7.2984
angles: 90.00 90.00 120.00
Positions (direct):
Sr: 0.3333 0.6667 0.6483
Sr: 0.6667 0.3333 0.3517
Sr: 0.0000 0.0000 0.0000
Pu: 0.0000 0.0000 0.5000
Ga: 0.3333 0.6667 0.1973
Ga: 0.6667 0.3333 0.8027
O: 0.3333 0.6667 0.9549
O: 0.6667 0.3333 0.0451
O: 0.1699 0.8301 0.3167
O: 0.8301 0.1699 0.6833
O: 0.1699 0.3397 0.3167
O: 0.8301 0.6603 0.6833
O: 0.6603 0.8301 0.3167
O: 0.3397 0.1699 0.6833

The total energy is -7.12 eV/atom. The calculation puts the energy relative to the elements, uncorrected at -2474 meV per atom. The crystal system is trigonal.